# Cu2ReAu PBE-GGA optimized geometry
# E_tot   -5.601 eV per atom
# Space-group type   No. 8
# ΔE_f   378.7 meV/atom
# V   14.354 Å³/atom
data_Cu2ReAu
_space_group_name_H-M_alt 'P 1'
_space_group_IT_number 1
_cell_length_a 4.760
_cell_length_b 4.760
_cell_length_c 4.806
_cell_angle_alpha 81.32
_cell_angle_beta 81.32
_cell_angle_gamma 32.28
loop_
_space_group_symop_operation_xyz
'x,y,z'
loop_
_atom_site_label
_atom_site_type_symbol
_atom_site_fract_x
_atom_site_fract_y
_atom_site_fract_z
Au1 Au 0.750 0.750 0.755
Cu1 Cu 0.995 0.995 0.006
Cu2 Cu 0.250 0.250 0.252
Re1 Re 0.505 0.505 0.487

---

# Pm2NdNi3 PBE-GGA optimized geometry
# E_tot   -5.515 eV per atom
# Space-group type   No. 123
# ΔE_f   -246.6 meV/atom
# V   21.009 Å³/atom
data_Pm2NdNi3
_space_group_name_H-M_alt 'P 1'
_space_group_IT_number 1
_cell_length_a 3.476
_cell_length_b 3.476
_cell_length_c 10.430
_cell_angle_alpha 90.00
_cell_angle_beta 90.00
_cell_angle_gamma 90.00
loop_
_space_group_symop_operation_xyz
'x,y,z'
loop_
_atom_site_label
_atom_site_type_symbol
_atom_site_fract_x
_atom_site_fract_y
_atom_site_fract_z
Ni1 Ni 0.000 0.000 0.330
Ni2 Ni 0.000 0.000 0.670
Ni3 Ni 0.000 0.000 0.000
Nd1 Nd 0.500 0.500 0.500
Pm1 Pm 0.500 0.500 0.834
Pm2 Pm 0.500 0.500 0.166

---

# LaSm2Tm PBE-GGA optimized geometry
# E_tot   -4.679 eV per atom
# Space-group type   No. 40
# ΔE_f   30.8 meV/atom
# V   34.038 Å³/atom
data_LaSm2Tm
_space_group_name_H-M_alt 'P 1'
_space_group_IT_number 1
_cell_length_a 5.820
_cell_length_b 7.342
_cell_length_c 7.342
_cell_angle_alpha 119.78
_cell_angle_beta 90.00
_cell_angle_gamma 90.00
loop_
_space_group_symop_operation_xyz
'x,y,z'
loop_
_atom_site_label
_atom_site_type_symbol
_atom_site_fract_x
_atom_site_fract_y
_atom_site_fract_z
Sm1 Sm 0.250 0.269 0.600
Sm2 Sm 0.750 0.600 0.269
Sm3 Sm 0.250 0.270 0.106
Sm4 Sm 0.750 0.106 0.270
La1 La 0.750 0.102 0.770
La2 La 0.250 0.770 0.102
Tm1 Tm 0.250 0.766 0.601
Tm2 Tm 0.750 0.601 0.766

---

# Re4AsBr PBE-GGA optimized geometry
# E_tot   -8.046 eV per atom
# Space-group type   No. 216
# ΔE_f (raw)   1.31 eV per atom
# V   17.578 Å³/atom
data_Re4AsBr
_space_group_name_H-M_alt 'P 1'
_space_group_IT_number 1
_cell_length_a 5.303
_cell_length_b 5.303
_cell_length_c 5.303
_cell_angle_alpha 60.00
_cell_angle_beta 60.00
_cell_angle_gamma 60.00
loop_
_space_group_symop_operation_xyz
'x,y,z'
loop_
_atom_site_label
_atom_site_type_symbol
_atom_site_fract_x
_atom_site_fract_y
_atom_site_fract_z
Re1 Re 0.375 0.375 0.375
Re2 Re 0.375 0.874 0.375
Re3 Re 0.375 0.375 0.874
Re4 Re 0.874 0.375 0.375
As1 As 0.750 0.750 0.750
Br1 Br 0.000 0.000 0.000

---

# Pa6GeTe3As2 PBE-GGA optimized geometry
# E_tot   -7.457 eV per atom
# Space-group type   No. 12
# ΔE_f (raw)   -0.76 eV per atom
# V   26.609 Å³/atom
data_Pa6GeTe3As2
_space_group_name_H-M_alt 'P 1'
_space_group_IT_number 1
_cell_length_a 4.113
_cell_length_b 8.681
_cell_length_c 9.605
_cell_angle_alpha 107.17
_cell_angle_beta 102.36
_cell_angle_gamma 90.00
loop_
_space_group_symop_operation_xyz
'x,y,z'
loop_
_atom_site_label
_atom_site_type_symbol
_atom_site_fract_x
_atom_site_fract_y
_atom_site_fract_z
Pa1 Pa 0.339 0.900 0.678
Pa2 Pa 0.327 0.432 0.655
Pa3 Pa 0.007 0.236 0.014
Pa4 Pa 0.673 0.568 0.345
Pa5 Pa 0.993 0.764 0.986
Pa6 Pa 0.661 0.100 0.322
Te1 Te 0.834 0.166 0.668
Te2 Te 0.166 0.834 0.332
Te3 Te 0.500 0.500 0.000
Ge1 Ge 0.500 0.000 0.000
As1 As 0.167 0.334 0.334
As2 As 0.833 0.666 0.666

---

# Tm4MgPb5 PBE-GGA optimized geometry
# E_tot   -3.971 eV per atom
# Space-group type   No. 79
# ΔE_f   -168.8 meV/atom
# V   29.246 Å³/atom
data_Tm4MgPb5
_space_group_name_H-M_alt 'P 1'
_space_group_IT_number 1
_cell_length_a 6.279
_cell_length_b 7.512
_cell_length_c 7.512
_cell_angle_alpha 79.94
_cell_angle_beta 65.30
_cell_angle_gamma 65.30
loop_
_space_group_symop_operation_xyz
'x,y,z'
loop_
_atom_site_label
_atom_site_type_symbol
_atom_site_fract_x
_atom_site_fract_y
_atom_site_fract_z
Tm1 Tm 0.550 0.602 0.221
Tm2 Tm 0.771 0.779 0.602
Tm3 Tm 0.153 0.221 0.398
Tm4 Tm 0.373 0.398 0.779
Pb1 Pb 0.067 0.621 0.174
Pb2 Pb 0.861 0.379 0.826
Pb3 Pb 0.688 0.174 0.379
Pb4 Pb 0.645 0.000 0.000
Pb5 Pb 0.240 0.826 0.621
Mg1 Mg 0.162 0.000 0.000